Entry 1:
A plane-wave DFT calculation with PBE-GGA was carried out for crystalline SrTe2W at its relaxed geometry.

```
4
Lattice="7.267 0.052 0.032 5.930 4.201 0.032 5.930 1.911 3.741" Properties=species:S:1:pos:R:3 pbc="T T T"
Te 9.917 3.196 1.973
Te 18.772 6.050 3.735
W 4.781 1.541 0.951
Sr 14.344 4.623 2.854
```

Density of states at the Fermi level (states/eV/f.u.): 1.5
Electronic total energy (eV/cell): -21.73
Density (Mg/m³): 7.80
Polymorph energy (0 for the lowest one) (meV/atom): 0

=====

Entry 2:
A plane-wave DFT calculation with PBE-GGA was carried out for crystalline Sr2TeW at its relaxed geometry.

```
4
Lattice="3.477 0.030 0.000 -0.061 3.476 0.000 0.000 0.000 9.528" Properties=species:S:1:pos:R:3 pbc="T T T"
Sr 0.000 0.000 4.789
Sr 0.000 0.000 9.504
Te 1.708 1.753 2.382
W 1.708 1.753 7.146
```

Density of states at the Fermi level (states/eV/f.u.): 2.2
Electronic total energy (eV/cell): -17.72
Density (Mg/m³): 7.02

=====

Entry 3:
A plane-wave DFT calculation with PBE-GGA was carried out for crystalline SrTe3W at its relaxed geometry.

```
5
Lattice="-3.589 -1.205 -4.497 1.461 -5.683 0.357 -4.421 -0.900 3.769" Properties=species:S:1:pos:R:3 pbc="T T T"
Sr 0.000 0.000 0.000
Te -2.210 -0.450 1.884
Te -1.794 -0.602 -2.249
Te 0.730 -2.842 0.178
W -3.274 -3.894 -0.186
```

Density of states at the Fermi level (states/eV/f.u.): 16.9
Electronic total energy (eV/cell): -15.02
Density (Mg/m³): 5.35
Polymorph energy (0 for the lowest one) (meV/atom): 1888

=====

Q: The highest density of states at the Fermi level belongs to which entry?
A: SrTe3W